Below is a relaxed Sb2OsPt crystal, with properties calculated at the GGA-PBE level.

Output
distance to the lowest polymorph of the same formula	298	meV per atom
ΔE_f (raw)	0.401	eV per atom
D(E_F)	9.24	states/eV/cell

a = 4.487 Å, b = 4.487 Å, c = 7.464 Å
α = 90.00°, β = 90.00°, γ = 90.00°
Space group I4/mmm (No. 139)
One atom of each set of equivalent atoms:
Sb: 0.000 0.500 0.250 (multiplicity 4)
Os: 0.000 0.000 0.000 (multiplicity 2)
Pt: 0.000 0.000 0.500 (multiplicity 2)

=====

Below is a relaxed PrGaHgPb crystal, with properties calculated at the GGA-PBE level.

Output
D(E_F)	7.92	states/eV/cell
raw total energy	-51.8	eV/cell

a = 7.532 Å, b = 7.532 Å, c = 7.532 Å
α = 90.00°, β = 90.00°, γ = 90.00°
Space group F-43m (No. 216)
One atom of each set of equivalent atoms:
Pr: 0.000 0.000 0.000 (multiplicity 4)
Ga: 0.250 0.250 0.250 (multiplicity 4)
Hg: 0.250 0.250 0.750 (multiplicity 4)
Pb: 0.000 0.000 0.500 (multiplicity 4)

=====

Below is a relaxed Nd4GaSn2 crystal, with properties calculated at the GGA-PBE level.

Output
D(E_F)	13.61	states/eV/cell
raw total energy	-68.7	eV/cell

a = 11.643 Å, b = 4.796 Å, c = 9.133 Å
α = 90.00°, β = 122.88°, γ = 90.00°
Space group C2/m (No. 12)
One atom of each set of equivalent atoms:
Nd: 0.080 0.000 0.374 (multiplicity 4)
Nd: 0.175 0.500 0.058 (multiplicity 4)
Ga: 0.000 0.000 0.000 (multiplicity 2)
Sn: 0.150 0.500 0.662 (multiplicity 4)

=====

Repeat the second record exactly.
Below is a relaxed PrGaHgPb crystal, with properties calculated at the GGA-PBE level.

Output
D(E_F)	7.92	states/eV/cell
raw total energy	-51.8	eV/cell

a = 7.532 Å, b = 7.532 Å, c = 7.532 Å
α = 90.00°, β = 90.00°, γ = 90.00°
Space group F-43m (No. 216)
One atom of each set of equivalent atoms:
Pr: 0.000 0.000 0.000 (multiplicity 4)
Ga: 0.250 0.250 0.250 (multiplicity 4)
Hg: 0.250 0.250 0.750 (multiplicity 4)
Pb: 0.000 0.000 0.500 (multiplicity 4)

=====

Among the records above, which one has the highest D(E_F)?
Nd4GaSn2